# GGA-PBEsol RbCa3Cr, optimized geometry
# ΔH_f (0 K) in meV/atom: 566
# Size of the total moment in μB per cell: 4.8
data_RbCa3Cr
_chemical_formula_sum 'Rb1 Ca3 Cr1'
_cell_length_a 6.0672
_cell_length_b 6.0672
_cell_length_c 6.0672
_cell_angle_alpha 90.00
_cell_angle_beta 90.00
_cell_angle_gamma 90.00
_space_group_name_H-M_alt 'P 1'
_space_group_IT_number 1
_space_group_name_Hall 'P 1'
loop_
_atom_site_label
_atom_site_type_symbol
_atom_site_fract_x
_atom_site_fract_y
_atom_site_fract_z
Rb1 Rb 0.0000 0.0000 0.0000
Ca1 Ca 0.0000 0.5000 0.5000
Ca2 Ca 0.5000 0.0000 0.5000
Ca3 Ca 0.5000 0.5000 0.0000
Cr1 Cr 0.5000 0.5000 0.5000